#i
A plane-wave DFT calculation with GGA-PBE was carried out for an optimized crystal structure of NaIN2F.

## Properties
Space-group type ... P4/mmm
V ... 79.79 Å³ per cell
DOS at the Fermi energy ... 0.47 states/eV/atom

The structure in POSCAR format:
```
NaIN2F
1.0
-1.4921 3.5145 -1.3472
0.7451 -1.1448 -3.8115
-4.4353 -1.9866 -0.2704
N F Na I
2 1 1 1
Direct
0.0000 0.5000 0.0000 N
0.5000 0.0000 0.0000 N
0.0000 0.0000 0.5000 F
0.5000 0.5000 0.5000 Na
0.0000 0.0000 0.0000 I
```

#ii
A plane-wave DFT calculation with GGA-PBE was carried out for an optimized crystal structure of NaIN2F.

## Properties
Space-group type ... P4/mmm
V ... 132.56 Å³ per cell
DOS at the Fermi energy ... 0.43 states/eV/atom

The structure in POSCAR format:
```
NaIN2F
1.0
-1.2376 -1.2973 4.3211
0.2488 -4.4935 -1.2778
5.8318 -0.1402 1.6282
N Na F I
2 1 1 1
Direct
0.0000 0.5000 0.0000 N
0.5000 0.0000 0.0000 N
0.0000 0.0000 0.0000 Na
0.5000 0.5000 0.5000 F
0.0000 0.0000 0.5000 I
```

#iii
A plane-wave DFT calculation with GGA-PBE was carried out for an optimized crystal structure of NaIN2F.

## Properties
Space-group type ... P4/mmm
V ... 117.50 Å³ per cell
DOS at the Fermi energy ... 0.18 states/eV/atom

The structure in POSCAR format:
```
NaIN2F
1.0
-4.9970 0.0663 -0.8590
0.8492 -0.4734 -4.9766
-0.1309 -4.5495 0.4104
Na N F I
1 2 1 1
Direct
0.5000 0.5000 0.5000 Na
0.5000 0.0000 0.0000 N
0.0000 0.5000 0.0000 N
0.0000 0.0000 0.0000 F
0.0000 0.0000 0.5000 I
```

#iv
A plane-wave DFT calculation with GGA-PBE was carried out for an optimized crystal structure of NaIN2F.

## Properties
Space-group type ... P4/mmm
V ... 102.00 Å³ per cell
DOS at the Fermi energy ... 0.74 states/eV/atom

The structure in POSCAR format:
```
NaIN2F
1.0
-2.6317 0.4643 4.2400
-1.5566 -4.7430 -0.4467
3.2176 -1.2570 2.1348
N Na F I
2 1 1 1
Direct
0.0000 0.5000 0.0000 N
0.5000 0.0000 0.0000 N
0.0000 0.0000 0.0000 Na
0.0000 0.0000 0.5000 F
0.5000 0.5000 0.5000 I
```

The winner here is #i, beating the second structure by 0.661 eV/atom.

#i
A plane-wave DFT calculation with GGA-PBE was carried out for an optimized crystal structure of NbI2NF.

## Properties
Space-group type ... P4/mmm
V ... 103.51 Å³ per cell
DOS at the Fermi energy ... 0.85 states/eV/atom

The structure in POSCAR format:
```
NbI2NF
1.0
-3.8942 3.3019 -1.7897
-3.7557 -3.4157 1.8704
0.0076 1.6921 3.1053
I N F Nb
2 1 1 1
Direct
0.0000 0.5000 0.0000 I
0.5000 0.0000 0.0000 I
0.0000 0.0000 0.5000 N
0.0000 0.0000 0.0000 F
0.5000 0.5000 0.5000 Nb
```

#ii
A plane-wave DFT calculation with GGA-PBE was carried out for an optimized crystal structure of NbI2NF.

## Properties
Space-group type ... P4/mmm
V ... 121.69 Å³ per cell
DOS at the Fermi energy ... 1.78 states/eV/atom

The structure in POSCAR format:
```
NbI2NF
1.0
-4.3486 -3.2231 1.3886
0.2782 -2.5206 -4.9795
2.4397 -2.6542 1.4798
F I Nb N
1 2 1 1
Direct
0.5000 0.5000 0.5000 F
0.0000 0.5000 0.0000 I
0.5000 0.0000 0.0000 I
0.0000 0.0000 0.0000 Nb
0.0000 0.0000 0.5000 N
```

The winner here is #ii, beating the second structure by 1.388 eV/atom.